1.
Entry from the Alexandria database: a relaxed CdTc2Se crystal (PBE).

```
data_CdTc2Se
_cell_length_a 4.4968
_cell_length_b 4.4968
_cell_length_c 3.1859
_cell_angle_alpha 90.00
_cell_angle_beta 90.00
_cell_angle_gamma 90.00
_symmetry_space_group_name_H-M 'P 4/m m m'
_symmetry_Int_Tables_number 123
_symmetry_space_group_name_Hall '-P 4 2'
loop_
_atom_site_label
_atom_site_fract_x
_atom_site_fract_y
_atom_site_fract_z
_atom_site_occupancy
Cd1 0.0000 0.0000 0.0000 1
Tc1 0.0000 0.5000 0.5000 1
Se1 0.5000 0.5000 0.0000 1
```

DFT total energy: -0.209 Ha/atom
DOS at the Fermi energy: 1.240 states/eV per atom


2.
Entry from the Alexandria database: a relaxed RePbW2 crystal (PBE).

```
data_RePbW2
_cell_length_a 9.7502
_cell_length_b 3.1319
_cell_length_c 4.7868
_cell_angle_alpha 90.00
_cell_angle_beta 104.38
_cell_angle_gamma 90.00
_symmetry_space_group_name_H-M 'C 1 2/m 1'
_symmetry_Int_Tables_number 12
_symmetry_space_group_name_Hall '-C 2y'
loop_
_atom_site_label
_atom_site_fract_x
_atom_site_fract_y
_atom_site_fract_z
_atom_site_occupancy
Re1 0.0000 0.0000 0.0000 1
Pb1 0.0000 0.5000 0.5000 1
W1 0.2370 0.5000 0.2144 1
```

DFT total energy: -0.357 Ha/atom
DOS at the Fermi energy: 0.681 states/eV per atom
Energy of formation from the pure elements: 0.79 eV/atom


3.
Entry from the Alexandria database: a relaxed Ac2MgGa12Pt3 crystal (PBE).

```
data_Ac2MgGa12Pt3
_cell_length_a 9.4162
_cell_length_b 9.4162
_cell_length_c 17.2045
_cell_angle_alpha 90.00
_cell_angle_beta 90.00
_cell_angle_gamma 120.00
_symmetry_space_group_name_H-M 'R -3 m'
_symmetry_Int_Tables_number 166
_symmetry_space_group_name_Hall '-R 3 2"'
loop_
_atom_site_label
_atom_site_fract_x
_atom_site_fract_y
_atom_site_fract_z
_atom_site_occupancy
Ac1 0.0000 0.0000 0.1073 1
Mg1 0.0000 0.0000 0.5000 1
Ga1 0.0077 0.5039 0.1439 1
Ga2 0.0494 0.5247 0.3146 1
Pt1 0.0000 0.5000 0.0000 1
```

DFT total energy: -0.138 Ha/atom
DOS at the Fermi energy: 0.472 states/eV per atom
Energy of formation from the pure elements: -0.20 eV/atom


4.
Entry from the Alexandria database: a relaxed NpUCuRh crystal (PBE).

```
data_NpUCuRh
_cell_length_a 6.5286
_cell_length_b 6.5286
_cell_length_c 6.5286
_cell_angle_alpha 90.00
_cell_angle_beta 90.00
_cell_angle_gamma 90.00
_symmetry_space_group_name_H-M 'F -4 3 m'
_symmetry_Int_Tables_number 216
_symmetry_space_group_name_Hall 'F -4 2 3'
loop_
_atom_site_label
_atom_site_fract_x
_atom_site_fract_y
_atom_site_fract_z
_atom_site_occupancy
Np1 0.0000 0.0000 0.0000 1
U1 0.2500 0.2500 0.7500 1
Cu1 0.2500 0.2500 0.2500 1
Rh1 0.0000 0.0000 0.5000 1
```

DFT total energy: -0.336 Ha/atom
DOS at the Fermi energy: 1.172 states/eV per atom
Energy of formation from the pure elements: -0.24 eV/atom


5.
Entry from the Alexandria database: a relaxed PtSe3Cl crystal (PBE).

```
data_PtSe3Cl
_cell_length_a 4.8753
_cell_length_b 4.8753
_cell_length_c 4.8753
_cell_angle_alpha 90.00
_cell_angle_beta 90.00
_cell_angle_gamma 90.00
_symmetry_space_group_name_H-M 'P m -3 m'
_symmetry_Int_Tables_number 221
_symmetry_space_group_name_Hall '-P 4 2 3'
loop_
_atom_site_label
_atom_site_fract_x
_atom_site_fract_y
_atom_site_fract_z
_atom_site_occupancy
Pt1 0.0000 0.0000 0.0000 1
Se1 0.0000 0.5000 0.5000 1
Cl1 0.5000 0.5000 0.5000 1
```

DFT total energy: -0.085 Ha/atom
DOS at the Fermi energy: 1.647 states/eV per atom


6.
Entry from the Alexandria database: a relaxed Y5Er3S8 crystal (PBE).

```
data_Y5Er3S8
_cell_length_a 7.7948
_cell_length_b 7.7948
_cell_length_c 19.1191
_cell_angle_alpha 90.00
_cell_angle_beta 90.00
_cell_angle_gamma 120.00
_symmetry_space_group_name_H-M 'R -3 m'
_symmetry_Int_Tables_number 166
_symmetry_space_group_name_Hall '-R 3 2"'
loop_
_atom_site_label
_atom_site_fract_x
_atom_site_fract_y
_atom_site_fract_z
_atom_site_occupancy
Y1 0.0000 0.0000 0.0000 1
Y2 0.0000 0.0000 0.5000 1
Y3 0.0000 0.5000 0.0000 1
Er1 0.0000 0.5000 0.5000 1
S1 0.0000 0.0000 0.2481 1
S2 0.0025 0.5013 0.7513 1
```

DFT total energy: -0.254 Ha/atom
DOS at the Fermi energy: 0.588 states/eV per atom